Entry w
The following is a DFT calculation (PBE) of crystalline MnB2H6 at its relaxed geometry.

* space group: Fm-3m (225)

abc: 3.9102 3.9101 3.9099
angles: 60.00 60.01 60.01
With the nearest neighbours (Å) after each atom.
Sites, in units of the cell vectors:
H 0.2814 0.2814 0.7186  1 Mn 1.56, 4 H 1.71
H 0.2814 0.7186 0.2814  1 Mn 1.56, 4 H 1.71
H 0.7186 0.2814 0.2814  1 Mn 1.56, 4 H 1.71
H 0.7186 0.7186 0.2814  1 Mn 1.56, 4 H 1.71
H 0.2814 0.7186 0.7186  1 Mn 1.56, 4 H 1.71
H 0.7186 0.2814 0.7186  1 Mn 1.56, 4 H 1.71
Mn 0.0000 0.0000 0.0000  6 H 1.56
B 0.7500 0.7500 0.7500  12 H 1.96
B 0.2500 0.2500 0.2500  12 H 1.96

***

Entry x
The following is a DFT calculation (PBE) of crystalline MnB2H6 at its relaxed geometry.

* space group: C2/c (15)

abc: 6.8298 4.6404 4.6404
angles: 79.14 77.06 77.06
With the nearest neighbours (Å) after each atom.
Sites, in units of the cell vectors:
H 0.7612 0.8008 0.5051  1 B 1.23
H 0.9614 0.1694 0.2485  1 B 1.24
H 0.2612 0.5051 0.8008  1 B 1.23
H 0.2388 0.1992 0.4949  1 B 1.23
H 0.4614 0.2485 0.1694  1 B 1.24
H 0.8722 0.3011 0.8417  1 B 1.24
H 0.5386 0.7515 0.8306  1 B 1.24
H 0.3722 0.8417 0.3011  1 B 1.24
H 0.0386 0.8306 0.7515  1 B 1.24
H 0.1278 0.6989 0.1583  1 B 1.24
H 0.6278 0.1583 0.6989  1 B 1.24
H 0.7388 0.4949 0.1992  1 B 1.23
Mn 0.7500 0.9344 0.0656  6 H 2.03-2.19
Mn 0.2500 0.0656 0.9344  6 H 2.03-2.19
B 0.5929 0.9386 0.6158  3 H 1.23-1.24
B 0.9071 0.3842 0.0614  3 H 1.23-1.24
B 0.0929 0.6158 0.9386  3 H 1.23-1.24
B 0.4071 0.0614 0.3842  3 H 1.23-1.24

***

Which of them is the most stable, and which is the least stable? entry x and entry w, in that order.

***

Entry w
The following is a DFT calculation (PBE) of crystalline NaB2H6 at its relaxed geometry.

* space group: Fm-3m (225)

abc: 4.4005 4.4004 4.4005
angles: 60.00 60.00 60.00
With the nearest neighbours (Å) after each atom.
Sites, in units of the cell vectors:
Na 0.0000 0.0000 0.0000  6 H 2.17
B 0.7500 0.7500 0.7500  12 H 2.28-2.29
B 0.2500 0.2500 0.2500  12 H 2.28-2.29
H 0.3491 0.6509 0.3491  4 H 1.33
H 0.3491 0.3491 0.6509  4 H 1.33
H 0.6509 0.3491 0.3491  4 H 1.33
H 0.6509 0.3491 0.6509  4 H 1.33
H 0.6509 0.6509 0.3491  4 H 1.33
H 0.3491 0.6509 0.6509  4 H 1.33

***

Entry x
The following is a DFT calculation (PBE) of crystalline NaB2H6 at its relaxed geometry.

* space group: C2/c (15)

abc: 4.6528 6.1277 6.1277
angles: 80.07 67.87 67.87
With the nearest neighbours (Å) after each atom.
Sites, in units of the cell vectors:
H 0.3371 0.8824 0.6146  1 B 1.21
H 0.2382 0.7836 0.9709  1 B 1.20
H 0.7618 0.2164 0.0291  1 B 1.20
H 0.4922 0.5268 0.7161  1 B 1.20
H 0.2618 0.0291 0.2164  1 B 1.20
H 0.5078 0.4732 0.2839  1 B 1.20
H 0.9922 0.7161 0.5268  1 B 1.20
H 0.7382 0.9709 0.7836  1 B 1.20
H 0.1629 0.3854 0.1176  1 B 1.21
H 0.6629 0.1176 0.3854  1 B 1.21
H 0.8371 0.6146 0.8824  1 B 1.21
H 0.0078 0.2839 0.4732  1 B 1.20
Na 0.2500 0.2480 0.7520  8 H 2.32-2.37
Na 0.7500 0.7520 0.2480  8 H 2.32-2.37
B 0.6466 0.2698 0.2322  3 H 1.20-1.21
B 0.1466 0.2322 0.2698  3 H 1.20-1.21
B 0.8534 0.7678 0.7302  3 H 1.20-1.21
B 0.3534 0.7302 0.7678  3 H 1.20-1.21

***

Entry y
The following is a DFT calculation (PBE) of crystalline NaB2H6 at its relaxed geometry.

* space group: C2/c (15)

abc: 5.1436 7.6818 5.1436
angles: 79.19 82.62 79.19
With the nearest neighbours (Å) after each atom.
Sites, in units of the cell vectors:
H 0.8421 0.4538 0.2366  1 B 1.22
H 0.4818 0.7600 0.0635  1 B 1.21
H 0.0635 0.2600 0.4818  1 B 1.21
H 0.7791 0.5159 0.6950  1 B 1.23
H 0.2366 0.9538 0.8421  1 B 1.22
H 0.5182 0.2400 0.9365  1 B 1.21
H 0.6950 0.0159 0.7791  1 B 1.23
H 0.2209 0.4841 0.3050  1 B 1.23
H 0.7634 0.0462 0.1579  1 B 1.22
H 0.1579 0.5462 0.7634  1 B 1.22
H 0.9365 0.7400 0.5182  1 B 1.21
H 0.3050 0.9841 0.2209  1 B 1.23
Na 0.0546 0.2500 0.9454  8 H 2.37-2.50
Na 0.9454 0.7500 0.0546  8 H 2.37-2.50
B 0.6165 0.0822 0.9809  3 H 1.21-1.23
B 0.9809 0.5822 0.6165  3 H 1.21-1.23
B 0.3835 0.9178 0.0191  3 H 1.21-1.23
B 0.0191 0.4178 0.3835  3 H 1.21-1.23

***

Which of them is the most stable, and which is the least stable? entry x and entry w, in that order.

***

Entry w
The following is a DFT calculation (PBE) of crystalline Na2B2H7 at its relaxed geometry.

* space group: P2_1/c (14)

abc: 4.4608 5.3881 11.1414
angles: 90.00 90.00 52.52
With the nearest neighbours (Å) after each atom.
Sites, in units of the cell vectors:
H 0.7702 0.4691 0.5711  1 B 1.22
H 0.2114 0.3378 0.1830  1 B 1.23
H 0.2800 0.5910 0.8628  1 B 1.22
H 0.7200 0.4090 0.1372  1 B 1.22
H 0.2298 0.5309 0.4289  1 B 1.22
H 0.2114 0.8378 0.3170  1 B 1.23
H 0.2298 0.0309 0.0711  1 B 1.22
H 0.2800 0.0910 0.6372  1 B 1.22
H 0.7200 0.9090 0.3628  1 B 1.22
H 0.0000 0.5000 0.0000  2 B 1.54
H 0.7886 0.6622 0.8170  1 B 1.23
H 0.7886 0.1622 0.6830  1 B 1.23
H 0.0000 0.0000 0.5000  2 B 1.54
H 0.7702 0.9691 0.9289  1 B 1.22
B 0.0421 0.8007 0.3926  3 H 1.22-1.23
B 0.9579 0.6993 0.8926  3 H 1.22-1.23
B 0.0421 0.3007 0.1074  3 H 1.22-1.23
B 0.9579 0.1993 0.6074  3 H 1.22-1.23
Na 0.1583 0.6096 0.6389  9 H 2.35-2.54
Na 0.8417 0.3904 0.3611  9 H 2.35-2.54
Na 0.1583 0.1096 0.8611  9 H 2.35-2.54
Na 0.8417 0.8904 0.1389  9 H 2.35-2.54

***

Entry x
The following is a DFT calculation (PBE) of crystalline Na2B2H7 at its relaxed geometry.

* space group: C2/m (12)

abc: 5.7257 4.1288 5.7257
angles: 67.36 100.00 112.64
With the nearest neighbours (Å) after each atom.
Sites, in units of the cell vectors:
H 0.7937 0.1292 0.2063  1 B 1.22
H 0.9124 0.6751 0.3673  1 B 1.21
H 0.6327 0.6751 0.0876  1 B 1.21
H 0.2063 0.8708 0.7937  1 B 1.22
H 0.3673 0.3249 0.9124  1 B 1.21
H 0.0000 0.0000 0.0000  2 B 1.46
H 0.0876 0.3249 0.6327  1 B 1.21
Na 0.7540 0.5000 0.7540  4 H 2.28-2.47
Na 0.2460 0.5000 0.2460  4 H 2.28-2.47
B 0.1900 0.1469 0.8100  3 H 1.21-1.22
B 0.8100 0.8531 0.1900  3 H 1.21-1.22

***

Which of them is the most stable, and which is the least stable? entry w and entry x, in that order.

***

Entry w
The following is a DFT calculation (PBE) of crystalline NaB3H at its relaxed geometry.

* space group: Pm-3m (221)

abc: 3.4488 3.4488 3.4488
angles: 90.00 90.00 90.00
With the nearest neighbours (Å) after each atom.
Sites, in units of the cell vectors:
B 0.0000 0.5000 0.0000  2 H 1.72
B 0.0000 0.0000 0.5000  2 H 1.72
B 0.5000 0.0000 0.0000  2 H 1.72
Na 0.5000 0.5000 0.5000  12 B 2.44
H 0.0000 0.0000 0.0000  6 B 1.72

***

Entry x
The following is a DFT calculation (PBE) of crystalline NaB3H at its relaxed geometry.

* space group: Pm-3m (221)

abc: 4.7050 4.7050 4.7050
angles: 90.00 90.00 90.00
With the nearest neighbours (Å) after each atom.
Sites, in units of the cell vectors:
B 0.5000 0.0000 0.0000  2 Na 2.35
B 0.0000 0.0000 0.5000  2 Na 2.35
B 0.0000 0.5000 0.0000  2 Na 2.35
Na 0.0000 0.0000 0.0000  6 B 2.35
H 0.5000 0.5000 0.5000  12 B 3.33

***

Which of them is the most stable, and which is the least stable? entry w and entry x, in that order.